Entry from Alexandria: a geometry-optimized Dy2AgRh structure (PBE-GGA).

## Properties
Calculated formation energy   -0.459 eV/atom
Fermi-level density of states   0.658 states/eV per atom

Cell: 3.9437 3.9437 22.3788 Å, 90.00 90.00 120.00°
With the nearest neighbours (Å) after each atom.
Sites, in units of the cell vectors:
Dy 0.0000 0.0000 0.2363  3 Rh 2.76
Dy 0.0000 0.0000 0.7637  3 Rh 2.76
Dy 0.3333 0.6667 0.4304  3 Rh 2.76
Dy 0.3333 0.6667 0.9029  3 Rh 2.76
Dy 0.6667 0.3333 0.0971  3 Rh 2.76
Dy 0.6667 0.3333 0.5696  3 Rh 2.76
Ag 0.0000 0.0000 0.0000  6 Dy 3.15
Ag 0.3333 0.6667 0.6667  6 Dy 3.15
Ag 0.6667 0.3333 0.3333  6 Dy 3.15
Rh 0.0000 0.0000 0.5000  6 Dy 2.76
Rh 0.3333 0.6667 0.1667  6 Dy 2.76
Rh 0.6667 0.3333 0.8333  6 Dy 2.76

---

Entry from Alexandria: a geometry-optimized Dy3AgRh structure (PBE-GGA).

## Properties
Calculated formation energy   -0.474 eV/atom
Fermi-level density of states   0.798 states/eV per atom

Cell: 5.5689 6.1976 8.4936 Å, 102.92 99.94 114.92°
With the nearest neighbours (Å) after each atom.
Sites, in units of the cell vectors:
Dy 0.0569 0.2014 0.2833  2 Rh 2.82-2.84, 1 Ag 3.07
Dy 0.2778 0.4242 0.7192  2 Rh 2.81-2.83, 1 Ag 3.06
Dy 0.3081 0.8083 0.1170  4 Rh 2.92-3.24
Dy 0.6919 0.1917 0.8830  4 Rh 2.92-3.24
Dy 0.7222 0.5758 0.2808  2 Rh 2.81-2.83, 1 Ag 3.06
Dy 0.9431 0.7986 0.7167  2 Rh 2.82-2.84, 1 Ag 3.07
Ag 0.3453 0.7621 0.4982  1 Ag 2.71
Ag 0.6547 0.2379 0.5018  1 Ag 2.71
Rh 0.2474 0.2479 0.9968  6 Dy 2.81-2.93
Rh 0.7526 0.7521 0.0032  6 Dy 2.81-2.93

---

Entry from Alexandria: a geometry-optimized Dy4Ag3Rh structure (PBE-GGA).

## Properties
Calculated formation energy   -0.460 eV/atom
Fermi-level density of states   0.667 states/eV per atom

Cell: 3.5554 3.5554 14.5328 Å, 90.00 90.00 90.00°
With the nearest neighbours (Å) after each atom.
Sites, in units of the cell vectors:
Dy 0.0000 0.0000 0.1128  4 Rh 3.00, 4 Ag 3.16, 1 Dy 3.28
Dy 0.0000 0.0000 0.3706  8 Ag 3.11-3.14
Dy 0.0000 0.0000 0.6294  8 Ag 3.11-3.14
Dy 0.0000 0.0000 0.8872  4 Rh 3.00, 4 Ag 3.16, 1 Dy 3.28
Ag 0.5000 0.5000 0.2445  8 Dy 3.11-3.16
Ag 0.5000 0.5000 0.5000  8 Dy 3.14
Ag 0.5000 0.5000 0.7555  8 Dy 3.11-3.16
Rh 0.5000 0.5000 0.0000  8 Dy 3.00

---

Entry from Alexandria: a geometry-optimized Dy4AgRuRh2 structure (PBE-GGA).

## Properties
Calculated formation energy   -0.612 eV/atom
Fermi-level density of states   0.501 states/eV per atom

Cell: 8.4893 8.4893 8.4893 Å, 33.55 33.55 33.55°
With the nearest neighbours (Å) after each atom.
Sites, in units of the cell vectors:
Dy 0.1204 0.1204 0.1204  1 Ru 2.89, 4 Rh 2.96-3.10, 3 Ag 3.04
Dy 0.3715 0.3715 0.3715  4 Rh 2.93-3.03, 3 Ru 2.97, 1 Ag 3.09
Dy 0.6285 0.6285 0.6285  4 Rh 2.93-3.03, 3 Ru 2.97, 1 Ag 3.09
Dy 0.8796 0.8796 0.8796  1 Ru 2.89, 4 Rh 2.96-3.10, 3 Ag 3.04
Ag 0.5000 0.5000 0.5000  8 Dy 3.04-3.09
Ru 0.0000 0.0000 0.0000  8 Dy 2.89-2.97
Rh 0.2494 0.2494 0.2494  8 Dy 2.93-3.10
Rh 0.7506 0.7506 0.7506  8 Dy 2.93-3.10

---

Entry from Alexandria: a geometry-optimized Dy2Si2AgRh5 structure (PBE-GGA).

## Properties
Raw formation energy   -833 meV per atom
Fermi-level density of states   0.414 states/eV per atom

Cell: 9.8185 9.8185 3.4628 Å, 90.00 90.00 90.00°
With the nearest neighbours (Å) after each atom.
Sites, in units of the cell vectors:
Dy 0.1743 0.3257 0.0000  3 Si 2.79-2.98, 6 Rh 2.98-3.09
Dy 0.3257 0.8257 0.0000  3 Si 2.79-2.98, 6 Rh 2.98-3.09
Dy 0.6743 0.1743 0.0000  3 Si 2.79-2.98, 6 Rh 2.98-3.09
Dy 0.8257 0.6743 0.0000  3 Si 2.79-2.98, 6 Rh 2.98-3.09
Si 0.1248 0.6248 0.0000  6 Rh 2.40-2.45
Si 0.3752 0.1248 0.0000  6 Rh 2.40-2.45
Si 0.6248 0.8752 0.0000  6 Rh 2.40-2.45
Si 0.8752 0.3752 0.0000  6 Rh 2.40-2.45
Ag 0.0000 0.0000 0.0000  8 Rh 2.82
Ag 0.5000 0.5000 0.0000  8 Rh 2.82
Rh 0.0000 0.5000 0.5000  4 Si 2.45
Rh 0.0689 0.7839 0.5000  2 Si 2.40
Rh 0.2161 0.0689 0.5000  2 Si 2.40
Rh 0.2839 0.5689 0.5000  2 Si 2.40
Rh 0.4311 0.2839 0.5000  2 Si 2.40
Rh 0.5000 0.0000 0.5000  4 Si 2.45
Rh 0.5689 0.7161 0.5000  2 Si 2.40
Rh 0.7161 0.4311 0.5000  2 Si 2.40
Rh 0.7839 0.9311 0.5000  2 Si 2.40
Rh 0.9311 0.2161 0.5000  2 Si 2.40

---

Entry from Alexandria: a geometry-optimized DyAgSnRh structure (PBE-GGA).

## Properties
Calculated formation energy   -0.524 eV/atom
Fermi-level density of states   0.751 states/eV per atom

Cell: 6.8273 6.8273 6.8273 Å, 90.00 90.00 90.00°
With the nearest neighbours (Å) after each atom.
Sites, in units of the cell vectors:
Dy 0.0000 0.0000 0.0000  4 Rh 2.96, 4 Ag 2.96
Dy 0.0000 0.5000 0.5000  4 Ag 2.96, 4 Rh 2.96
Dy 0.5000 0.0000 0.5000  4 Ag 2.96, 4 Rh 2.96
Dy 0.5000 0.5000 0.0000  4 Rh 2.96, 4 Ag 2.96
Ag 0.2500 0.2500 0.2500  4 Sn 2.96, 4 Dy 2.96
Ag 0.2500 0.7500 0.7500  4 Sn 2.96, 4 Dy 2.96
Ag 0.7500 0.2500 0.7500  4 Sn 2.96, 4 Dy 2.96
Ag 0.7500 0.7500 0.2500  4 Sn 2.96, 4 Dy 2.96
Sn 0.0000 0.0000 0.5000  4 Rh 2.96, 4 Ag 2.96
Sn 0.0000 0.5000 0.0000  4 Rh 2.96, 4 Ag 2.96
Sn 0.5000 0.0000 0.0000  4 Rh 2.96, 4 Ag 2.96
Sn 0.5000 0.5000 0.5000  4 Rh 2.96, 4 Ag 2.96
Rh 0.2500 0.2500 0.7500  4 Sn 2.96, 4 Dy 2.96
Rh 0.2500 0.7500 0.2500  4 Sn 2.96, 4 Dy 2.96
Rh 0.7500 0.2500 0.2500  4 Sn 2.96, 4 Dy 2.96
Rh 0.7500 0.7500 0.7500  4 Sn 2.96, 4 Dy 2.96

---

Entry from Alexandria: a geometry-optimized SrDyAgRh structure (PBE-GGA).

## Properties
Calculated formation energy   -0.321 eV/atom
Fermi-level density of states   0.552 states/eV per atom

Cell: 7.2373 7.2373 7.2373 Å, 90.00 90.00 90.00°
With the nearest neighbours (Å) after each atom.
Sites, in units of the cell vectors:
Sr 0.0000 0.0000 0.0000  4 Rh 3.13, 4 Ag 3.13
Sr 0.0000 0.5000 0.5000  4 Rh 3.13, 4 Ag 3.13
Sr 0.5000 0.0000 0.5000  4 Rh 3.13, 4 Ag 3.13
Sr 0.5000 0.5000 0.0000  4 Rh 3.13, 4 Ag 3.13
Dy 0.0000 0.0000 0.5000  4 Ag 3.13, 4 Rh 3.13
Dy 0.0000 0.5000 0.0000  4 Ag 3.13, 4 Rh 3.13
Dy 0.5000 0.0000 0.0000  4 Ag 3.13, 4 Rh 3.13
Dy 0.5000 0.5000 0.5000  4 Rh 3.13, 4 Ag 3.13
Ag 0.2500 0.2500 0.7500  4 Dy 3.13, 4 Sr 3.13
Ag 0.2500 0.7500 0.2500  4 Dy 3.13, 4 Sr 3.13
Ag 0.7500 0.2500 0.2500  4 Dy 3.13, 4 Sr 3.13
Ag 0.7500 0.7500 0.7500  4 Sr 3.13, 4 Dy 3.13
Rh 0.2500 0.2500 0.2500  4 Dy 3.13, 4 Sr 3.13
Rh 0.2500 0.7500 0.7500  4 Dy 3.13, 4 Sr 3.13
Rh 0.7500 0.2500 0.7500  4 Dy 3.13, 4 Sr 3.13
Rh 0.7500 0.7500 0.2500  4 Dy 3.13, 4 Sr 3.13

---

Entry from Alexandria: a geometry-optimized TbDyAgRh structure (PBE-GGA).

## Properties
Calculated formation energy   -0.565 eV/atom
Fermi-level density of states   0.953 states/eV per atom

Cell: 7.0677 7.0677 7.0677 Å, 90.00 90.00 90.00°
With the nearest neighbours (Å) after each atom.
Sites, in units of the cell vectors:
Tb 0.0000 0.0000 0.0000  4 Rh 3.06, 4 Ag 3.06
Tb 0.0000 0.5000 0.5000  4 Rh 3.06, 4 Ag 3.06
Tb 0.5000 0.0000 0.5000  4 Rh 3.06, 4 Ag 3.06
Tb 0.5000 0.5000 0.0000  4 Rh 3.06, 4 Ag 3.06
Dy 0.0000 0.0000 0.5000  4 Rh 3.06, 4 Ag 3.06
Dy 0.0000 0.5000 0.0000  4 Rh 3.06, 4 Ag 3.06
Dy 0.5000 0.0000 0.0000  4 Rh 3.06, 4 Ag 3.06
Dy 0.5000 0.5000 0.5000  4 Rh 3.06, 4 Ag 3.06
Ag 0.2500 0.2500 0.2500  4 Tb 3.06, 4 Dy 3.06
Ag 0.2500 0.7500 0.7500  4 Tb 3.06, 4 Dy 3.06
Ag 0.7500 0.2500 0.7500  4 Tb 3.06, 4 Dy 3.06
Ag 0.7500 0.7500 0.2500  4 Tb 3.06, 4 Dy 3.06
Rh 0.2500 0.2500 0.7500  4 Tb 3.06, 4 Dy 3.06
Rh 0.2500 0.7500 0.2500  4 Tb 3.06, 4 Dy 3.06
Rh 0.7500 0.2500 0.2500  4 Tb 3.06, 4 Dy 3.06
Rh 0.7500 0.7500 0.7500  4 Tb 3.06, 4 Dy 3.06

---

Entry from Alexandria: a geometry-optimized DyTh2AgRh5 structure (PBE-GGA).

## Properties
Calculated formation energy   -0.301 eV/atom
Fermi-level density of states   1.002 states/eV per atom

Cell: 8.1004 8.1004 8.1004 Å, 118.35 118.35 92.88°
With the nearest neighbours (Å) after each atom.
Sites, in units of the cell vectors:
Dy 0.2500 0.2500 0.0000  2 Rh 2.79
Dy 0.7500 0.7500 0.0000  2 Rh 2.79
Th 0.1395 0.6395 0.7789  2 Rh 2.49
Th 0.3605 0.1395 0.5000  2 Rh 2.49
Th 0.6395 0.8605 0.5000  2 Rh 2.49
Th 0.8605 0.3605 0.2211  2 Rh 2.49
Ag 0.2500 0.7500 0.5000  4 Rh 2.60
Ag 0.7500 0.2500 0.5000  4 Rh 2.60
Rh 0.0000 0.0000 0.0000  2 Dy 2.79
Rh 0.0565 0.1694 0.5000  1 Th 2.49, 1 Ag 2.60
Rh 0.1694 0.6694 0.1129  1 Th 2.49, 1 Ag 2.60
Rh 0.3306 0.4435 0.5000  1 Th 2.49, 1 Ag 2.60
Rh 0.4435 0.9435 0.1129  1 Th 2.49, 1 Ag 2.60
Rh 0.5000 0.5000 0.0000  2 Dy 2.79
Rh 0.5565 0.0565 0.8871  1 Th 2.49, 1 Ag 2.60
Rh 0.6694 0.5565 0.5000  1 Th 2.49, 1 Ag 2.60
Rh 0.8306 0.3306 0.8871  1 Th 2.49, 1 Ag 2.60
Rh 0.9435 0.8306 0.5000  1 Th 2.49, 1 Ag 2.60

---

Entry from Alexandria: a geometry-optimized Dy5Tl2AgRh2 structure (PBE-GGA).

## Properties
Calculated formation energy   -0.521 eV/atom
Fermi-level density of states   0.422 states/eV per atom

Cell: 11.7524 11.7524 3.6466 Å, 90.00 90.00 90.00°
With the nearest neighbours (Å) after each atom.
Sites, in units of the cell vectors:
Dy 0.0000 0.5000 0.0000  4 Rh 2.87
Dy 0.0773 0.2021 0.0000  2 Rh 2.74
Dy 0.2021 0.9227 0.0000  2 Rh 2.74
Dy 0.2979 0.4227 0.0000  2 Rh 2.74
Dy 0.4227 0.7021 0.0000  2 Rh 2.74
Dy 0.5000 0.0000 0.0000  4 Rh 2.87
Dy 0.5773 0.2979 0.0000  2 Rh 2.74
Dy 0.7021 0.5773 0.0000  2 Rh 2.74
Dy 0.7979 0.0773 0.0000  2 Rh 2.74
Dy 0.9227 0.7979 0.0000  2 Rh 2.74
Tl 0.1724 0.6724 0.5000  3 Rh 3.23-3.62, 6 Dy 3.40-3.48
Tl 0.3276 0.1724 0.5000  3 Rh 3.23-3.62, 6 Dy 3.40-3.48
Tl 0.6724 0.8276 0.5000  3 Rh 3.23-3.62, 6 Dy 3.40-3.48
Tl 0.8276 0.3276 0.5000  3 Rh 3.23-3.62, 6 Dy 3.40-3.48
Ag 0.0000 0.0000 0.5000  8 Dy 3.13
Ag 0.5000 0.5000 0.5000  8 Dy 3.13
Rh 0.1331 0.3669 0.5000  6 Dy 2.74-2.87
Rh 0.3669 0.8669 0.5000  6 Dy 2.74-2.87
Rh 0.6331 0.1331 0.5000  6 Dy 2.74-2.87
Rh 0.8669 0.6331 0.5000  6 Dy 2.74-2.87

---

Entry from Alexandria: a geometry-optimized Dy4TlAg2Rh structure (PBE-GGA).

## Properties
Calculated formation energy   -0.487 eV/atom
Fermi-level density of states   0.430 states/eV per atom

Cell: 8.8185 8.8185 8.8185 Å, 33.85 33.85 33.85°
With the nearest neighbours (Å) after each atom.
Sites, in units of the cell vectors:
Dy 0.1148 0.1148 0.1148  1 Rh 2.86, 4 Ag 3.03-3.19
Dy 0.3680 0.3680 0.3680  3 Rh 3.09, 4 Ag 3.12-3.28, 1 Tl 3.29, 3 Dy 3.43
Dy 0.6320 0.6320 0.6320  3 Rh 3.09, 4 Ag 3.12-3.28, 1 Tl 3.29, 3 Dy 3.43
Dy 0.8852 0.8852 0.8852  1 Rh 2.86, 4 Ag 3.03-3.19
Tl 0.5000 0.5000 0.5000  8 Dy 3.23-3.29, 6 Ag 3.52
Ag 0.2428 0.2428 0.2428  8 Dy 3.03-3.28
Ag 0.7572 0.7572 0.7572  8 Dy 3.03-3.28
Rh 0.0000 0.0000 0.0000  8 Dy 2.86-3.09

---

Entry from Alexandria: a geometry-optimized DyYAgRh structure (PBE-GGA).

## Properties
Calculated formation energy   -0.570 eV/atom
Fermi-level density of states   0.954 states/eV per atom

Cell: 7.0627 7.0627 7.0627 Å, 90.00 90.00 90.00°
With the nearest neighbours (Å) after each atom.
Sites, in units of the cell vectors:
Dy 0.0000 0.0000 0.0000  4 Rh 3.06, 4 Ag 3.06
Dy 0.0000 0.5000 0.5000  4 Rh 3.06, 4 Ag 3.06
Dy 0.5000 0.0000 0.5000  4 Rh 3.06, 4 Ag 3.06
Dy 0.5000 0.5000 0.0000  4 Rh 3.06, 4 Ag 3.06
Y 0.0000 0.0000 0.5000  4 Rh 3.06, 4 Ag 3.06
Y 0.0000 0.5000 0.0000  4 Rh 3.06, 4 Ag 3.06
Y 0.5000 0.0000 0.0000  4 Rh 3.06, 4 Ag 3.06
Y 0.5000 0.5000 0.5000  4 Rh 3.06, 4 Ag 3.06
Ag 0.2500 0.2500 0.7500  4 Dy 3.06, 4 Y 3.06
Ag 0.2500 0.7500 0.2500  4 Dy 3.06, 4 Y 3.06
Ag 0.7500 0.2500 0.2500  4 Dy 3.06, 4 Y 3.06
Ag 0.7500 0.7500 0.7500  4 Dy 3.06, 4 Y 3.06
Rh 0.2500 0.2500 0.2500  4 Dy 3.06, 4 Y 3.06
Rh 0.2500 0.7500 0.7500  4 Dy 3.06, 4 Y 3.06
Rh 0.7500 0.2500 0.7500  4 Dy 3.06, 4 Y 3.06
Rh 0.7500 0.7500 0.2500  4 Dy 3.06, 4 Y 3.06